Entry 1:
A geometry-optimized SiNiN2 structure, computed with GGA-PBE.

Output
magnetic moment = 0.00 μB per cell
energy = -6.612 eV per atom
SG = R-3m (166)

```
data_SiNiN2
_symmetry_space_group_name_H-M 'P 1'
_symmetry_Int_Tables_number 1
_symmetry_space_group_name_Hall 'P 1'
_cell_length_a 5.760
_cell_length_b 5.760
_cell_length_c 5.760
_cell_angle_alpha 28.83
_cell_angle_beta 28.83
_cell_angle_gamma 28.83
loop_
_atom_site_label
_atom_site_type_symbol
_atom_site_fract_x
_atom_site_fract_y
_atom_site_fract_z
Ni1 Ni 0.500 0.500 0.500
Si1 Si 0.000 0.000 0.000
N1 N 0.894 0.894 0.894
N2 N 0.106 0.106 0.106
```

---

Entry 2:
A geometry-optimized SiNiN2 structure, computed with GGA-PBE.

Output
magnetic moment = 8.06 μB per cell
energy = -7.339 eV per atom
SG = Pna2_1 (33)

```
data_SiNiN2
_symmetry_space_group_name_H-M 'P 1'
_symmetry_Int_Tables_number 1
_symmetry_space_group_name_Hall 'P 1'
_cell_length_a 4.955
_cell_length_b 5.165
_cell_length_c 6.321
_cell_angle_alpha 90.00
_cell_angle_beta 90.00
_cell_angle_gamma 90.00
loop_
_atom_site_label
_atom_site_type_symbol
_atom_site_fract_x
_atom_site_fract_y
_atom_site_fract_z
Si1 Si 0.006 0.573 0.376
Si2 Si 0.506 0.427 0.624
Si3 Si 0.506 0.927 0.876
Si4 Si 0.006 0.073 0.124
Ni1 Ni 0.001 0.569 0.878
Ni2 Ni 0.501 0.431 0.122
Ni3 Ni 0.501 0.931 0.378
Ni4 Ni 0.001 0.069 0.622
N1 N 0.358 0.560 0.399
N2 N 0.858 0.440 0.601
N3 N 0.858 0.940 0.899
N4 N 0.358 0.060 0.101
N5 N 0.405 0.605 0.847
N6 N 0.905 0.395 0.153
N7 N 0.905 0.895 0.347
N8 N 0.405 0.105 0.653
```

---

Entry 3:
A geometry-optimized SiNiN2 structure, computed with GGA-PBE.

Output
magnetic moment = 0.00 μB per cell
energy = -6.836 eV per atom
SG = P6_3/mmc (194)

```
data_SiNiN2
_symmetry_space_group_name_H-M 'P 1'
_symmetry_Int_Tables_number 1
_symmetry_space_group_name_Hall 'P 1'
_cell_length_a 2.716
_cell_length_b 2.716
_cell_length_c 11.713
_cell_angle_alpha 90.00
_cell_angle_beta 90.00
_cell_angle_gamma 120.00
loop_
_atom_site_label
_atom_site_type_symbol
_atom_site_fract_x
_atom_site_fract_y
_atom_site_fract_z
Si1 Si 0.333 0.667 0.250
Si2 Si 0.667 0.333 0.750
Ni1 Ni 0.000 0.000 0.000
Ni2 Ni 0.000 0.000 0.500
N1 N 0.000 0.000 0.845
N2 N 0.000 0.000 0.155
N3 N 0.000 0.000 0.345
N4 N 0.000 0.000 0.655
```

---

Entry 4:
A geometry-optimized SiNi2N structure, computed with GGA-PBE.

Output
magnetic moment = 0.00 μB per cell
SG = Fm-3m (225)
relative energy among the computed polymorphs = 375 meV per atom

```
data_SiNi2N
_symmetry_space_group_name_H-M 'P 1'
_symmetry_Int_Tables_number 1
_symmetry_space_group_name_Hall 'P 1'
_cell_length_a 3.852
_cell_length_b 3.852
_cell_length_c 3.852
_cell_angle_alpha 60.00
_cell_angle_beta 60.00
_cell_angle_gamma 60.00
loop_
_atom_site_label
_atom_site_type_symbol
_atom_site_fract_x
_atom_site_fract_y
_atom_site_fract_z
Ni1 Ni 0.250 0.250 0.250
Ni2 Ni 0.750 0.750 0.750
Si1 Si 0.500 0.500 0.500
N1 N 0.000 0.000 0.000
```

---

Entry 5:
A geometry-optimized Si3NiN structure, computed with GGA-PBE.

Output
magnetic moment = 0.00 μB per cell
SG = Pm-3m (221)
relative energy among the computed polymorphs = 0 meV per atom

```
data_Si3NiN
_symmetry_space_group_name_H-M 'P 1'
_symmetry_Int_Tables_number 1
_symmetry_space_group_name_Hall 'P 1'
_cell_length_a 3.923
_cell_length_b 3.923
_cell_length_c 3.923
_cell_angle_alpha 90.00
_cell_angle_beta 90.00
_cell_angle_gamma 90.00
loop_
_atom_site_label
_atom_site_type_symbol
_atom_site_fract_x
_atom_site_fract_y
_atom_site_fract_z
Ni1 Ni 0.500 0.500 0.500
Si1 Si 0.000 0.500 0.000
Si2 Si 0.000 0.000 0.500
Si3 Si 0.500 0.000 0.000
N1 N 0.000 0.000 0.000
```

---

Entry 6:
A geometry-optimized Si2NiN2 structure, computed with GGA-PBE.

Output
magnetic moment = 0.00 μB per cell
SG = P4/mbm (127)
relative energy among the computed polymorphs = 0 meV per atom

```
data_Si2NiN2
_symmetry_space_group_name_H-M 'P 1'
_symmetry_Int_Tables_number 1
_symmetry_space_group_name_Hall 'P 1'
_cell_length_a 6.155
_cell_length_b 6.155
_cell_length_c 2.983
_cell_angle_alpha 90.00
_cell_angle_beta 90.00
_cell_angle_gamma 90.00
loop_
_atom_site_label
_atom_site_type_symbol
_atom_site_fract_x
_atom_site_fract_y
_atom_site_fract_z
Ni1 Ni 0.000 0.000 0.000
Ni2 Ni 0.500 0.500 0.000
Si1 Si 0.135 0.635 0.500
Si2 Si 0.635 0.865 0.500
Si3 Si 0.865 0.365 0.500
Si4 Si 0.365 0.135 0.500
N1 N 0.228 0.728 0.000
N2 N 0.728 0.772 0.000
N3 N 0.772 0.272 0.000
N4 N 0.272 0.228 0.000
```